Record 1
Below is a crystal of Ga2PbSeBr relaxed with PBEsol, with properties calculated at the meta-GGA SCAN level.

Unit cell a=5.252 b=5.252 c=5.766 alpha=90.00 beta=90.00 gamma=90.00
Fractional coordinates of all 5 atoms:
Ga 0.000 0.500 0.000
Ga 0.500 0.000 0.000
Pb 0.000 0.000 0.500
Se 0.000 0.000 0.000
Br 0.500 0.500 0.500

## Properties
Symmetry   No. 123


Record 2
Below is a crystal of GaPbSeBr2 relaxed with PBEsol, with properties calculated at the meta-GGA SCAN level.

Unit cell a=5.089 b=5.089 c=5.097 alpha=90.00 beta=90.00 gamma=90.00
Fractional coordinates of all 5 atoms:
Ga 0.000 0.000 0.000
Pb 0.500 0.500 0.500
Se 0.000 0.000 0.500
Br 0.000 0.500 0.000
Br 0.500 0.000 0.000

## Properties
Symmetry   No. 123


We obtain uncorrected energy values of -29.395 -30.580 eV/atom for the records listed above, in that order.
We obtain energy relative to the elements, uncorrected values of 0.21 -0.36 eV per atom for the records listed above, in that order.